(P)
CsRbBi2 after structural relaxation, computed with PBE.

a = 8.9425 Å, b = 8.9425 Å, c = 8.9425 Å
α = 90.00°, β = 90.00°, γ = 90.00°
Last column: nearest neighbours and their distance in Å.
Space group Fm-3m (No. 225)
Symmetry-distinct sites (fractional):
Cs 0.0000 0.0000 0.0000 (multiplicity 4)  8 Bi 3.87
Rb 0.0000 0.0000 0.5000 (multiplicity 4)  8 Bi 3.87
Bi 0.2500 0.2500 0.2500 (multiplicity 8)  4 Rb 3.87, 4 Cs 3.87


(Q)
CsRbBi2 after structural relaxation, computed with PBE.

a = 5.1359 Å, b = 5.1359 Å, c = 6.0486 Å
α = 90.00°, β = 90.00°, γ = 90.00°
Last column: nearest neighbours and their distance in Å.
Space group P4/mmm (No. 123)
Symmetry-distinct sites (fractional):
Cs 0.0000 0.0000 0.0000 (multiplicity 1)  4 Rb 3.63, 8 Bi 3.97
Rb 0.5000 0.5000 0.0000 (multiplicity 1)  4 Cs 3.63, 8 Bi 3.97
Bi 0.0000 0.5000 0.5000 (multiplicity 2)  4 Bi 3.63, 4 Rb 3.97, 4 Cs 3.97


(R)
CsRbBi2 after structural relaxation, computed with PBE.

a = 8.2783 Å, b = 7.6591 Å, c = 11.3688 Å
α = 90.00°, β = 90.00°, γ = 90.00°
Last column: nearest neighbours and their distance in Å.
Space group Pnma (No. 62)
Symmetry-distinct sites (fractional):
Cs 0.0086 0.2500 0.2118 (multiplicity 4)  2 Rb 3.83, 8 Bi 3.94-4.24, 2 Cs 4.23
Rb 0.0036 0.7500 0.2232 (multiplicity 4)  2 Cs 3.83, 6 Bi 3.83-4.14, 2 Rb 4.18
Bi 0.1816 0.0396 0.5023 (multiplicity 8)  2 Bi 3.07-3.22


Which one is the most stable? From the structures above, (R).